(1)
# Be3Al (PBE, optimized geometry)
data_Be3Al
_cell_length_a 2.7085
_cell_length_b 3.6974
_cell_length_c 4.4060
_cell_angle_alpha 90.00
_cell_angle_beta 102.43
_cell_angle_gamma 90.00
_space_group_name_H-M_alt 'P 1 2/m 1'
_space_group_IT_number 10
loop_
_space_group_symop_operation_xyz
'x,y,z'
'-x,-y,-z'
'-x,y,-z'
'x,-y,z'
loop_
_atom_site_label
_atom_site_type_symbol
_atom_site_fract_x
_atom_site_fract_y
_atom_site_fract_z
_atom_site_occupancy
Be1 Be 0.0000 0.0000 0.0000 1
Be2 Be 0.0728 0.5000 0.7651 1
Al1 Al 0.5000 0.0000 0.5000 1
# E_form in eV/f.u.: 1.1


(2)
# LiTbLuOs (PBE, optimized geometry)
data_LiTbLuOs
_cell_length_a 6.8668
_cell_length_b 6.8668
_cell_length_c 6.8668
_cell_angle_alpha 90.00
_cell_angle_beta 90.00
_cell_angle_gamma 90.00
_space_group_name_H-M_alt 'F -4 3 m'
_space_group_IT_number 216
_space_group_name_Hall 'F -4 2 3'
loop_
_atom_site_label
_atom_site_type_symbol
_atom_site_fract_x
_atom_site_fract_y
_atom_site_fract_z
_atom_site_occupancy
Li1 Li 0.0000 0.0000 0.0000 1
Tb1 Tb 0.2500 0.2500 0.7500 1
Lu1 Lu 0.2500 0.2500 0.2500 1
Os1 Os 0.0000 0.0000 0.5000 1
# E_form in eV/f.u.: -1.1


(3)
# AcIn5Hg7 (PBE, optimized geometry)
data_AcIn5Hg7
_cell_length_a 6.6937
_cell_length_b 10.4314
_cell_length_c 10.0913
_cell_angle_alpha 90.00
_cell_angle_beta 90.00
_cell_angle_gamma 90.00
_space_group_name_H-M_alt 'I m m 2'
_space_group_IT_number 44
loop_
_space_group_symop_operation_xyz
'x,y,z'
'-x,-y,z'
'-x,y,z'
'x,-y,z'
'x+1/2,y+1/2,z+1/2'
'-x+1/2,-y+1/2,z+1/2'
'-x+1/2,y+1/2,z+1/2'
'x+1/2,-y+1/2,z+1/2'
loop_
_atom_site_label
_atom_site_type_symbol
_atom_site_fract_x
_atom_site_fract_y
_atom_site_fract_z
_atom_site_occupancy
Ac1 Ac 0.0000 0.0000 0.0000 1
In1 In 0.0000 0.5000 0.2552 1
In2 In 0.2488 0.2555 0.7498 1
Hg1 Hg 0.0000 0.0000 0.3591 1
Hg2 Hg 0.0000 0.0000 0.6540 1
Hg3 Hg 0.0000 0.3191 0.4973 1
Hg4 Hg 0.0000 0.3356 0.0015 1
Hg5 Hg 0.0000 0.5000 0.7413 1
# E_form in eV/f.u.: -1.0


(4)
# Cs2BeRuS (PBE, optimized geometry)
data_Cs2BeRuS
_cell_length_a 6.8417
_cell_length_b 6.8417
_cell_length_c 4.3329
_cell_angle_alpha 90.00
_cell_angle_beta 90.00
_cell_angle_gamma 90.00
_space_group_name_H-M_alt 'P 4/m m m'
_space_group_IT_number 123
_space_group_name_Hall '-P 4 2'
loop_
_atom_site_label
_atom_site_type_symbol
_atom_site_fract_x
_atom_site_fract_y
_atom_site_fract_z
_atom_site_occupancy
Cs1 Cs 0.0000 0.5000 0.0000 1
Be1 Be 0.0000 0.0000 0.5000 1
Ru1 Ru 0.5000 0.5000 0.5000 1
S1 S 0.5000 0.5000 0.0000 1
# Formation energy (no corrections) in eV per atom: 0.53


(5)
# PrGa4Au3 (PBE, optimized geometry)
data_PrGa4Au3
_cell_length_a 4.3290
_cell_length_b 4.3290
_cell_length_c 8.8478
_cell_angle_alpha 90.00
_cell_angle_beta 90.00
_cell_angle_gamma 90.00
_space_group_name_H-M_alt 'P 4/m m m'
_space_group_IT_number 123
_space_group_name_Hall '-P 4 2'
loop_
_atom_site_label
_atom_site_type_symbol
_atom_site_fract_x
_atom_site_fract_y
_atom_site_fract_z
_atom_site_occupancy
Pr1 Pr 0.0000 0.0000 0.0000 1
Ga1 Ga 0.0000 0.5000 0.3244 1
Au1 Au 0.0000 0.0000 0.5000 1
Au2 Au 0.5000 0.5000 0.1539 1
# E_form in eV/f.u.: -3.8


(6)
# CaPdF4 (PBE, optimized geometry)
data_CaPdF4
_cell_length_a 5.6329
_cell_length_b 5.6329
_cell_length_c 10.6440
_cell_angle_alpha 90.00
_cell_angle_beta 90.00
_cell_angle_gamma 90.00
_space_group_name_H-M_alt 'I 4/m c m'
_space_group_IT_number 140
_space_group_name_Hall '-I 4 2c'
loop_
_atom_site_label
_atom_site_type_symbol
_atom_site_fract_x
_atom_site_fract_y
_atom_site_fract_z
_atom_site_occupancy
Ca1 Ca 0.0000 0.0000 0.2500 1
Pd1 Pd 0.0000 0.5000 0.0000 1
F1 F 0.1762 0.3238 0.1362 1
# Distance to the lowest polymorph of the same formula in eV/f.u.: 0.00
# Formation energy (no corrections) in eV per atom: -2.55


(7)
# Dy5CoBi (PBE, optimized geometry)
data_Dy5CoBi
_cell_length_a 11.8775
_cell_length_b 8.5384
_cell_length_c 9.4672
_cell_angle_alpha 90.00
_cell_angle_beta 108.17
_cell_angle_gamma 90.00
_space_group_name_H-M_alt 'C 1 2/c 1'
_space_group_IT_number 15
loop_
_space_group_symop_operation_xyz
'x,y,z'
'-x,-y,-z'
'-x,y,-z+1/2'
'x,-y,z+1/2'
'x+1/2,y+1/2,z'
'-x+1/2,-y+1/2,-z'
'-x+1/2,y+1/2,-z+1/2'
'x+1/2,-y+1/2,z+1/2'
loop_
_atom_site_label
_atom_site_type_symbol
_atom_site_fract_x
_atom_site_fract_y
_atom_site_fract_z
_atom_site_occupancy
Dy1 Dy 0.0000 0.0924 0.2500 1
Dy2 Dy 0.0926 0.2731 0.9743 1
Dy3 Dy 0.2157 0.1131 0.6439 1
Co1 Co 0.0000 0.0000 0.0000 1
Bi1 Bi 0.0000 0.4526 0.2500 1
# E_form in eV/f.u.: -0.6


(8)
# InSeS2N (PBE, optimized geometry)
data_InSeS2N
_cell_length_a 5.0092
_cell_length_b 5.0092
_cell_length_c 3.7711
_cell_angle_alpha 90.00
_cell_angle_beta 90.00
_cell_angle_gamma 90.00
_space_group_name_H-M_alt 'P 4/m m m'
_space_group_IT_number 123
_space_group_name_Hall '-P 4 2'
loop_
_atom_site_label
_atom_site_type_symbol
_atom_site_fract_x
_atom_site_fract_y
_atom_site_fract_z
_atom_site_occupancy
In1 In 0.0000 0.0000 0.0000 1
Se1 Se 0.5000 0.5000 0.5000 1
S1 S 0.0000 0.5000 0.5000 1
N1 N 0.5000 0.5000 0.0000 1
# Distance to the lowest polymorph of the same formula in eV/f.u.: 0.00
# Formation energy (no corrections) in eV per atom: 0.81


(9)
# MgGa2Sn (PBE, optimized geometry)
data_MgGa2Sn
_cell_length_a 7.0602
_cell_length_b 7.0602
_cell_length_c 7.0602
_cell_angle_alpha 90.00
_cell_angle_beta 90.00
_cell_angle_gamma 90.00
_space_group_name_H-M_alt 'F m -3 m'
_space_group_IT_number 225
_space_group_name_Hall '-F 4 2 3'
loop_
_atom_site_label
_atom_site_type_symbol
_atom_site_fract_x
_atom_site_fract_y
_atom_site_fract_z
_atom_site_occupancy
Mg1 Mg 0.0000 0.0000 0.0000 1
Ga1 Ga 0.2500 0.2500 0.2500 1
Sn1 Sn 0.0000 0.0000 0.5000 1
# Distance to the lowest polymorph of the same formula in eV/f.u.: 0.25
# E_form in eV/f.u.: 0.0


(10)
# Mg2CuPb2 (PBE, optimized geometry)
data_Mg2CuPb2
_cell_length_a 7.3298
_cell_length_b 7.3298
_cell_length_c 4.6267
_cell_angle_alpha 90.00
_cell_angle_beta 90.00
_cell_angle_gamma 90.00
_space_group_name_H-M_alt 'P 4/m b m'
_space_group_IT_number 127
_space_group_name_Hall '-P 4 2ab'
loop_
_atom_site_label
_atom_site_type_symbol
_atom_site_fract_x
_atom_site_fract_y
_atom_site_fract_z
_atom_site_occupancy
Mg1 Mg 0.1557 0.3443 0.0000 1
Cu1 Cu 0.0000 0.0000 0.5000 1
Pb1 Pb 0.1566 0.6566 0.5000 1
# Distance to the lowest polymorph of the same formula in eV/f.u.: 0.08
# E_form in eV/f.u.: 0.7


(11)
# CaFeCo2 (PBE, optimized geometry)
data_CaFeCo2
_cell_length_a 6.1445
_cell_length_b 6.1445
_cell_length_c 6.1445
_cell_angle_alpha 90.00
_cell_angle_beta 90.00
_cell_angle_gamma 90.00
_space_group_name_H-M_alt 'F m -3 m'
_space_group_IT_number 225
_space_group_name_Hall '-F 4 2 3'
loop_
_atom_site_label
_atom_site_type_symbol
_atom_site_fract_x
_atom_site_fract_y
_atom_site_fract_z
_atom_site_occupancy
Ca1 Ca 0.0000 0.0000 0.0000 1
Fe1 Fe 0.0000 0.0000 0.5000 1
Co1 Co 0.2500 0.2500 0.2500 1
# Distance to the lowest polymorph of the same formula in eV/f.u.: 1.09
# E_form in eV/f.u.: 1.7


(12)
# Ga3SeF (PBE, optimized geometry)
data_Ga3SeF
_cell_length_a 5.6697
_cell_length_b 5.6697
_cell_length_c 5.6697
_cell_angle_alpha 90.00
_cell_angle_beta 90.00
_cell_angle_gamma 90.00
_space_group_name_H-M_alt 'P m -3 m'
_space_group_IT_number 221
_space_group_name_Hall '-P 4 2 3'
loop_
_atom_site_label
_atom_site_type_symbol
_atom_site_fract_x
_atom_site_fract_y
_atom_site_fract_z
_atom_site_occupancy
Ga1 Ga 0.0000 0.0000 0.5000 1
Se1 Se 0.0000 0.0000 0.0000 1
F1 F 0.5000 0.5000 0.5000 1
# Distance to the lowest polymorph of the same formula in eV/f.u.: 2.68
# Formation energy (no corrections) in eV per atom: 0.02